Record 1
Density functional theory data (GGA-PBEsol) for CoP2Pb after structural relaxation.

a = 2.932 Å, b = 2.932 Å, c = 7.805 Å
α = 90.00°, β = 90.00°, γ = 90.00°
Atoms (fractional coordinates):
Co 0.000 0.000 0.000
P 0.500 0.500 0.156
P 0.500 0.500 0.844
Pb 0.000 0.000 0.500

Computed properties:
Fermi-level density of states   1.291 states/eV/cell
Magnetic moment   0.00 Bohr magnetons per cell
Calculated density   8.12 g/cm3
Formation energy from the elements   60 meV per atom

Record 2
Density functional theory data (GGA-PBEsol) for CoPPb4 after structural relaxation.

a = 6.143 Å, b = 6.143 Å, c = 6.143 Å
α = 60.00°, β = 60.00°, γ = 60.00°
Atoms (fractional coordinates):
Co 0.000 0.000 0.000
P 0.750 0.750 0.750
Pb 0.375 0.375 0.375
Pb 0.375 0.375 0.876
Pb 0.375 0.876 0.375
Pb 0.876 0.375 0.375

Computed properties:
Fermi-level density of states   6.633 states/eV/cell
Magnetic moment   1.83 Bohr magnetons per cell
Calculated density   9.31 g/cm3
Formation energy from the elements   1049 meV per atom

Record 3
Density functional theory data (GGA-PBEsol) for CoPPd after structural relaxation.

a = 3.549 Å, b = 3.549 Å, c = 5.782 Å
α = 90.00°, β = 90.00°, γ = 90.00°
Atoms (fractional coordinates):
Co 0.250 0.750 0.000
Co 0.750 0.250 0.000
P 0.250 0.250 0.223
P 0.750 0.750 0.777
Pd 0.250 0.250 0.623
Pd 0.750 0.750 0.377

Computed properties:
Fermi-level density of states   1.121 states/eV/cell
Magnetic moment   0.00 Bohr magnetons per cell
Calculated density   8.96 g/cm3
Formation energy from the elements   -684 meV per atom

Record 4
Density functional theory data (GGA-PBEsol) for PrCo5P3 after structural relaxation.

a = 11.706 Å, b = 3.646 Å, c = 10.309 Å
α = 90.00°, β = 90.00°, γ = 90.00°
Atoms (fractional coordinates):
Pr 0.202 0.250 0.084
Pr 0.298 0.750 0.584
Pr 0.702 0.250 0.416
Pr 0.798 0.750 0.916
Co 0.009 0.750 0.713
Co 0.010 0.750 0.095
Co 0.068 0.750 0.470
Co 0.176 0.250 0.781
Co 0.197 0.250 0.383
Co 0.303 0.750 0.883
Co 0.324 0.750 0.281
Co 0.432 0.250 0.970
Co 0.490 0.250 0.595
Co 0.491 0.250 0.213
Co 0.509 0.750 0.787
Co 0.510 0.750 0.405
Co 0.568 0.750 0.030
Co 0.676 0.250 0.719
Co 0.697 0.250 0.117
Co 0.803 0.750 0.617
Co 0.824 0.750 0.219
Co 0.932 0.250 0.530
Co 0.990 0.250 0.905
Co 0.991 0.250 0.287
P 0.107 0.750 0.894
P 0.109 0.250 0.584
P 0.129 0.750 0.277
P 0.371 0.250 0.777
P 0.391 0.750 0.084
P 0.393 0.250 0.394
P 0.607 0.750 0.606
P 0.609 0.250 0.916
P 0.629 0.750 0.223
P 0.871 0.250 0.723
P 0.891 0.750 0.416
P 0.893 0.250 0.106

Computed properties:
Fermi-level density of states   25.193 states/eV/cell
Magnetic moment   4.10 Bohr magnetons per cell
Calculated density   7.98 g/cm3
Formation energy from the elements   -847 meV per atom

Record 5
Density functional theory data (GGA-PBEsol) for PrCo4P12 after structural relaxation.

a = 6.697 Å, b = 6.697 Å, c = 6.697 Å
α = 109.47°, β = 109.47°, γ = 109.47°
Atoms (fractional coordinates):
Pr 0.000 0.000 0.000
Co 0.000 0.000 0.500
Co 0.000 0.500 0.000
Co 0.500 0.000 0.000
Co 0.500 0.500 0.500
P 0.151 0.506 0.355
P 0.151 0.797 0.645
P 0.203 0.355 0.849
P 0.355 0.151 0.506
P 0.355 0.849 0.203
P 0.494 0.645 0.849
P 0.506 0.355 0.151
P 0.645 0.151 0.797
P 0.645 0.849 0.494
P 0.797 0.645 0.151
P 0.849 0.203 0.355
P 0.849 0.494 0.645

Computed properties:
Fermi-level density of states   9.827 states/eV/cell
Magnetic moment   0.00 Bohr magnetons per cell
Calculated density   5.38 g/cm3
Formation energy from the elements   -644 meV per atom

Record 6
Density functional theory data (GGA-PBEsol) for CoPPt after structural relaxation.

a = 3.815 Å, b = 3.815 Å, c = 3.815 Å
α = 60.00°, β = 60.00°, γ = 60.00°
Atoms (fractional coordinates):
Co 0.000 0.000 0.000
P 0.750 0.750 0.750
Pt 0.500 0.500 0.500

Computed properties:
Fermi-level density of states   1.840 states/eV/cell
Magnetic moment   0.02 Bohr magnetons per cell
Calculated density   12.06 g/cm3
Formation energy from the elements   -470 meV per atom

Record 7
Density functional theory data (GGA-PBEsol) for TaCo2PPt after structural relaxation.

a = 4.460 Å, b = 4.460 Å, c = 4.840 Å
α = 90.00°, β = 90.00°, γ = 90.00°
Atoms (fractional coordinates):
Ta 0.000 0.000 0.000
Co 0.000 0.500 0.500
Co 0.500 0.000 0.500
P 0.500 0.500 0.000
Pt 0.000 0.000 0.500

Computed properties:
Fermi-level density of states   7.733 states/eV/cell
Magnetic moment   3.87 Bohr magnetons per cell
Calculated density   9.05 g/cm3
Formation energy from the elements   1444 meV per atom

Record 8
Density functional theory data (GGA-PBEsol) for CoReP after structural relaxation.

a = 4.818 Å, b = 4.818 Å, c = 4.818 Å
α = 145.74°, β = 145.74°, γ = 49.23°
Atoms (fractional coordinates):
Co 0.000 0.000 0.000
Re 0.299 0.299 0.000
P 0.637 0.637 0.000

Computed properties:
Fermi-level density of states   2.379 states/eV/cell
Magnetic moment   0.00 Bohr magnetons per cell
Relative energy among the computed polymorphs   29.28 kJ/mol of atoms
Calculated density   12.99 g/cm3
Formation energy from the elements   -132 meV per atom

Record 9
Density functional theory data (GGA-PBEsol) for Co2ReP after structural relaxation.

a = 2.776 Å, b = 2.776 Å, c = 5.923 Å
α = 90.00°, β = 90.00°, γ = 90.00°
Atoms (fractional coordinates):
Co 0.000 0.000 0.000
Co 0.500 0.500 0.287
Re 0.500 0.500 0.747
P 0.000 0.000 0.458

Computed properties:
Fermi-level density of states   2.845 states/eV/cell
Magnetic moment   0.21 Bohr magnetons per cell
Calculated density   12.19 g/cm3
Formation energy from the elements   -88 meV per atom

Record 10
Density functional theory data (GGA-PBEsol) for CoReP after structural relaxation.

a = 3.912 Å, b = 3.912 Å, c = 2.725 Å
α = 90.00°, β = 90.00°, γ = 120.00°
Atoms (fractional coordinates):
Co 0.000 0.000 0.000
Re 0.667 0.333 0.476
P 0.333 0.667 0.189

Computed properties:
Fermi-level density of states   2.415 states/eV/cell
Magnetic moment   0.64 Bohr magnetons per cell
Relative energy among the computed polymorphs   35.61 kJ/mol of atoms
Calculated density   12.70 g/cm3
Formation energy from the elements   -66 meV per atom

Record 11
Density functional theory data (GGA-PBEsol) for Co2ReP after structural relaxation.

a = 2.923 Å, b = 3.938 Å, c = 3.945 Å
α = 90.00°, β = 90.00°, γ = 90.00°
Atoms (fractional coordinates):
Co 0.000 0.000 0.000
Co 0.500 0.500 0.000
Re 0.000 0.500 0.500
P 0.500 0.000 0.500

Computed properties:
Fermi-level density of states   4.135 states/eV/cell
Magnetic moment   0.10 Bohr magnetons per cell
Calculated density   12.25 g/cm3
Formation energy from the elements   -15 meV per atom

Record 12
Density functional theory data (GGA-PBEsol) for CoReP2 after structural relaxation.

a = 7.214 Å, b = 7.214 Å, c = 7.214 Å
α = 22.66°, β = 22.66°, γ = 22.66°
Atoms (fractional coordinates):
Co 0.000 0.000 0.000
Re 0.500 0.500 0.500
P 0.254 0.254 0.254
P 0.746 0.746 0.746

Computed properties:
Fermi-level density of states   3.350 states/eV/cell
Magnetic moment   0.00 Bohr magnetons per cell
Relative energy among the computed polymorphs   0.00 kJ/mol of atoms
Calculated density   10.43 g/cm3
Formation energy from the elements   -176 meV per atom